# 1
Density functional theory data (GGA-PBE) for crystalline RbCaN2O at its relaxed geometry.

Cell: 4.9086 4.9086 4.4971 Å, 90.00 90.00 90.00°
Space group P4/mmm (No. 123)
Asymmetric unit:
Rb: 0.0000 0.0000 0.0000 [1 per cell]
Ca: 0.5000 0.5000 0.5000 [1 per cell]
N: 0.0000 0.5000 0.5000 [2 per cell]
O: 0.5000 0.5000 0.0000 [1 per cell]

Final energy in eV/atom: -4.402
Crystal system: tetragonal
E_form (uncorrected) in eV per atom: 0.5134

# 2
Density functional theory data (GGA-PBE) for crystalline SrMgAl2Ag5 at its relaxed geometry.

Cell: 4.9589 4.9589 7.9513 Å, 90.00 90.00 90.00°
Space group P4/mmm (No. 123)
Asymmetric unit:
Sr: 0.0000 0.0000 0.0000 [1 per cell]
Mg: 0.0000 0.0000 0.5000 [1 per cell]
Al: 0.5000 0.5000 0.3394 [2 per cell]
Ag: 0.0000 0.5000 0.2557 [4 per cell]
Ag: 0.5000 0.5000 0.0000 [1 per cell]

Final energy in eV/atom: -2.813
Crystal system: tetragonal

# 3
Density functional theory data (GGA-PBE) for crystalline La4Pm6Sm at its relaxed geometry.

Cell: 6.7755 6.7755 17.0625 Å, 90.00 90.00 90.00°
Space group I-42m (No. 121)
Asymmetric unit:
La: 0.1647 0.1647 0.3743 [8 per cell]
Pm: 0.0000 0.5000 0.0000 [4 per cell]
Pm: 0.1857 0.1857 0.1784 [8 per cell]
Sm: 0.0000 0.0000 0.0000 [2 per cell]

Relative energy among the computed polymorphs in meV/atom: 0
Final energy in eV/atom: -4.560
Crystal system: tetragonal

# 4
Density functional theory data (GGA-PBE) for crystalline SmSi2 at its relaxed geometry.

Cell: 5.7864 5.9801 4.0970 Å, 90.00 111.30 90.00°
Space group C2/m (No. 12)
Asymmetric unit:
Sm: 0.0000 0.0000 0.0000 [2 per cell]
Si: 0.1056 0.5000 0.2981 [4 per cell]

Final energy in eV/atom: -5.553
Crystal system: monoclinic
E_form (uncorrected) in eV per atom: -0.3646

# 5
Density functional theory data (GGA-PBE) for crystalline Tb2Ga3Pd4 at its relaxed geometry.

Cell: 5.5979 15.2551 7.7042 Å, 90.00 90.00 90.00°
Space group Cmce (No. 64)
Asymmetric unit:
Tb: 0.0000 0.1100 0.0831 [8 per cell]
Ga: 0.0000 0.0000 0.5000 [4 per cell]
Ga: 0.2500 0.2306 0.7500 [8 per cell]
Pd: 0.0000 0.1824 0.4809 [8 per cell]
Pd: 0.2500 0.0598 0.7500 [8 per cell]

Final energy in eV/atom: -5.194
Crystal system: orthorhombic

# 6
Density functional theory data (GGA-PBE) for crystalline IrF3 at its relaxed geometry.

Cell: 5.0433 5.0433 13.9578 Å, 90.00 90.00 120.00°
Space group R-3c (No. 167, hexagonal axes)
Asymmetric unit:
Ir: 0.0000 0.0000 0.0000 [6 per cell]
F: 0.0000 0.3374 0.2500 [18 per cell]

Final energy in eV/atom: -4.892
Crystal system: trigonal
E_form (uncorrected) in eV per atom: -1.2734

- What is the final energy in the second record?
  -2.813 eV/atom